[1]
NbAlAs2Br | Alexandria | PBE-GGA | optimized geometry; magnetic moment = 2.330 Bohr magnetons per cell; ΔE_f (raw) = 669.5 meV per atom; D(E_F) = 3.6 states/eV/f.u.; mass density = 5.06 g/cm3
1.0
-4.4230 -1.7931 0.4185
0.8324 -0.9758 4.6161
-1.7134 4.5216 1.2648
As Nb Al Br
2 1 1 1
Direct
0.5000 0.0000 0.0000
0.0000 0.5000 0.0000
0.5000 0.5000 0.5000
0.0000 0.0000 0.0000
0.0000 0.0000 0.5000

=====

[2]
TmZnP2Rh5 | Alexandria | PBE-GGA | optimized geometry; magnetic moment = 0.000 Bohr magnetons per cell; D(E_F) = 6.2 states/eV/f.u.; formation enthalpy at 0 K = -0.759 eV/atom; mass density = 9.97 g/cm3
1.0
4.0441 0.0000 0.0000
0.0000 4.0441 0.0000
0.0000 0.0000 8.2605
P Tm Rh Zn
2 1 5 1
Direct
0.5000 0.5000 0.1387
0.5000 0.5000 0.8613
0.0000 0.0000 0.0000
0.0000 0.5000 0.2725
0.5000 0.0000 0.7275
0.5000 0.0000 0.2725
0.5000 0.5000 0.5000
0.0000 0.5000 0.7275
0.0000 0.0000 0.5000

=====

[3]
MnPtSe3 | Alexandria | PBE-GGA | optimized geometry; magnetic moment = 6.901 Bohr magnetons per cell; ΔE_f (raw) = -321.4 meV per atom; D(E_F) = 2.3 states/eV/f.u.; mass density = 7.91 g/cm3
1.0
-3.3182 3.7408 4.1340
-3.6578 -2.7203 4.6168
2.0631 0.3707 6.4117
Se Mn Pt
6 2 2
Direct
0.2489 0.9449 0.2434
0.7511 0.0551 0.7565
0.9449 0.5628 0.2434
0.5628 0.2489 0.2434
0.0551 0.4372 0.7565
0.4372 0.7511 0.7565
0.3468 0.3468 0.9596
0.6532 0.6532 0.0404
0.8449 0.8449 0.4653
0.1551 0.1551 0.5347

=====

[4]
PmPuNiHg | Alexandria | PBE-GGA | optimized geometry; magnetic moment = 5.695 Bohr magnetons per cell; D(E_F) = 11.1 states/eV/f.u.; formation enthalpy at 0 K = -0.086 eV/atom; mass density = 11.18 g/cm3
1.0
5.1451 0.0000 0.0000
2.5725 4.4558 0.0000
2.5725 1.4853 4.2009
Pu Ni Pm Hg
1 1 1 1
Direct
0.0000 0.0000 0.0000
0.2500 0.2500 0.2500
0.5000 0.5000 0.5000
0.7500 0.7500 0.7500